Here is an optimized crystal structure of La3PmC8 from the Alexandria database. Energies are from GGA-PBE.

Structure (CIF):
```
data_La3PmC8
_cell_length_a 7.953
_cell_length_b 10.448
_cell_length_c 6.568
_cell_angle_alpha 90.00
_cell_angle_beta 127.23
_cell_angle_gamma 90.00
_space_group_name_H-M_alt 'C 1 m 1'
_space_group_IT_number 8
loop_
_space_group_symop_operation_xyz
'x,y,z'
'x,-y,z'
'x+1/2,y+1/2,z'
'x+1/2,-y+1/2,z'
loop_
_atom_site_label
_atom_site_type_symbol
_atom_site_fract_x
_atom_site_fract_y
_atom_site_fract_z
_atom_site_occupancy
La1 La 0.000 0.000 0.000 1
La2 La 0.001 0.250 0.500 1
Pm1 Pm 0.000 0.500 0.001 1
C1 C 0.062 0.500 0.675 1
C2 C 0.275 0.163 0.000 1
C3 C 0.367 0.000 0.472 1
C4 C 0.369 0.264 0.000 1
C5 C 0.387 0.500 0.325 1
C6 C 0.394 0.500 0.527 1
```

Energy (eV/atom): -7.644
N(E_F) (states/eV per cell): 6.9
Total magnetization (μB per cell): 0.000